Below is an optimized crystal structure of SnPtS4, with properties calculated at the PBE level.

Cell: 3.6440 6.2946 12.3461 Å, 99.92 90.00 90.00°
With the nearest neighbours (Å) after each atom.
Element x y z (fractional)
S 0.4999 0.1501 0.8845  1 Pt 2.41, 2 Sn 2.59
S 0.0001 0.1501 0.3845  1 Pt 2.41, 2 Sn 2.59
S 0.9999 0.8499 0.6155  1 Pt 2.41, 2 Sn 2.59
S 0.5000 0.3905 0.6066  2 Pt 2.42, 1 Sn 2.58
S 0.0000 0.6095 0.8934  2 Pt 2.42, 1 Sn 2.58
S 0.0000 0.3905 0.1066  2 Pt 2.42, 1 Sn 2.58
S 0.5000 0.6095 0.3934  2 Pt 2.42, 1 Sn 2.58
S 0.5001 0.8499 0.1155  1 Pt 2.41, 2 Sn 2.59
Sn 0.0000 0.0000 0.0000  6 S 2.58-2.59
Sn 0.5000 0.0000 0.5000  6 S 2.58-2.59
Pt 0.0000 0.5000 0.5000  6 S 2.41-2.42
Pt 0.5000 0.5000 0.0000  6 S 2.41-2.42

Calculated volume: 279.0 Å³ per cell
ΔE_f (raw): -390 meV/atom